Crystalline Nd2AlZn3 at its relaxed geometry. Source: Alexandria via LeMat-Bulk, functional PBE.

Cell: 9.087 8.717 5.915 Å, 74.01 67.26 38.74°
Fractional coordinates of all 12 atoms:
Nd  0.239  0.761  0.761
Nd  0.250  0.250  0.250
Nd  0.750  0.750  0.750
Nd  0.761  0.239  0.239
Al  0.335  0.335  0.665
Al  0.665  0.665  0.335
Zn  0.168  0.168  0.832
Zn  0.170  0.664  0.336
Zn  0.336  0.830  0.170
Zn  0.664  0.170  0.830
Zn  0.830  0.336  0.664
Zn  0.832  0.832  0.168

Properties
energy above the lowest structure with this stoichiometry = 0.000 eV/atom
total moment = 0.003 μB per cell



Crystalline Nd3Al2Zn9 at its relaxed geometry. Source: Alexandria via LeMat-Bulk, functional PBE.

Cell: 8.345 8.345 8.345 Å, 148.72 115.46 73.46°
Fractional coordinates of all 14 atoms:
Nd  0.000  0.000  0.000
Nd  0.290  0.290  0.000
Nd  0.710  0.710  0.000
Al  0.319  0.500  0.819
Al  0.681  0.500  0.181
Zn  0.014  0.654  0.360
Zn  0.142  0.858  0.283
Zn  0.294  0.654  0.640
Zn  0.425  0.142  0.283
Zn  0.500  0.000  0.500
Zn  0.575  0.858  0.717
Zn  0.706  0.346  0.360
Zn  0.858  0.142  0.717
Zn  0.986  0.346  0.640

Properties
E = -2.72 eV per atom
total moment = 0.000 μB per cell



Crystalline Nd3Al2Zn3 at its relaxed geometry. Source: Alexandria via LeMat-Bulk, functional PBE.

Cell: 5.875 5.875 14.985 Å, 90.00 90.00 134.28°
Fractional coordinates of all 16 atoms:
Nd  0.096  0.904  0.608
Nd  0.096  0.904  0.892
Nd  0.387  0.613  0.750
Nd  0.613  0.387  0.250
Nd  0.904  0.096  0.108
Nd  0.904  0.096  0.392
Al  0.201  0.799  0.097
Al  0.201  0.799  0.403
Al  0.799  0.201  0.597
Al  0.799  0.201  0.903
Zn  0.321  0.679  0.250
Zn  0.386  0.614  0.535
Zn  0.386  0.614  0.965
Zn  0.614  0.386  0.035
Zn  0.614  0.386  0.465
Zn  0.679  0.321  0.750

Properties
E = -3.58 eV per atom
total moment = 0.000 μB per cell